Density functional theory data (PBE) for a geometry-optimized NaBTe3 structure.

abc: 9.5106 3.5598 9.9872
angles: 90.00 110.54 90.00
Space group P2_1/m (No. 11)
Asymmetric unit:
1 Na 0.1884 0.2500 0.3061
2 B 0.2067 0.2500 0.9181
3 Te 0.0996 0.2500 0.6918
4 Te 0.2879 0.7500 0.0533
5 Te 0.4143 0.7500 0.5596

Values from the calculation:
- offset from the most stable computed form (kcal/mol of atoms) = 0.00


Density functional theory data (PBE) for a geometry-optimized ScTiZnRe structure.

abc: 6.4075 6.4075 6.4075
angles: 90.00 90.00 90.00
Space group F-43m (No. 216)
Asymmetric unit:
1 Sc 0.0000 0.0000 0.0000
2 Ti 0.0000 0.0000 0.5000
3 Zn 0.2500 0.2500 0.7500
4 Re 0.2500 0.2500 0.2500

Values from the calculation:
- formation energy (eV/atom) = -0.23


Density functional theory data (PBE) for a geometry-optimized NaSn4Au4 structure.

abc: 7.1815 8.6372 9.9367
angles: 90.00 133.60 90.00
Space group P2/c (No. 13)
Asymmetric unit:
1 Na 0.0000 0.2427 0.2500
2 Sn 0.1841 0.1221 0.6912
3 Sn 0.3451 0.3813 0.0296
4 Au 0.1881 0.4515 0.6887
5 Au 0.3511 0.0537 0.0435

Values from the calculation:
- formation energy (eV/atom) = -0.21


Density functional theory data (PBE) for a geometry-optimized Pu3Ge4Ru2 structure.

abc: 10.7309 4.3497 8.1818
angles: 90.00 107.64 90.00
Space group C2/m (No. 12)
Asymmetric unit:
1 Pu 0.0000 0.0000 0.0000
2 Pu 0.1222 0.5000 0.6946
3 Ge 0.0911 0.0000 0.3973
4 Ge 0.2111 0.5000 0.0756
5 Ru 0.1896 0.5000 0.3671

Values from the calculation:
- formation energy (eV/atom) = -0.44


Density functional theory data (PBE) for a geometry-optimized Sc6Te2N structure.

abc: 5.9528 5.9528 12.3463
angles: 90.00 90.00 90.00
Space group P4_2/mnm (No. 136)
Asymmetric unit:
1 Sc 0.1837 0.1837 0.1245
2 Sc 0.2209 0.2209 0.5000
3 Te 0.0000 0.0000 0.3186
4 N 0.0000 0.0000 0.0000

Values from the calculation:
- DFT total energy (Ry/atom) = -0.47970


Density functional theory data (PBE) for a geometry-optimized La2Si3Ni5 structure.

abc: 9.4249 11.9291 5.7549
angles: 90.00 90.00 90.00
Space group Ibam (No. 72)
Asymmetric unit:
1 La 0.2442 0.1311 0.0000
2 Si 0.0000 0.0000 0.2500
3 Si 0.1301 0.3862 0.0000
4 Ni 0.0000 0.2715 0.2500
5 Ni 0.0000 0.5000 0.2500
6 Ni 0.1168 0.1223 0.5000

Values from the calculation:
- DFT total energy (Ry/atom) = -0.45155


Density functional theory data (PBE) for a geometry-optimized YZr2GaH structure.

abc: 4.4531 4.4531 4.5969
angles: 90.00 90.00 90.00
Space group P4/mmm (No. 123)
Asymmetric unit:
1 Y 0.0000 0.0000 0.0000
2 Zr 0.0000 0.5000 0.5000
3 Ga 0.5000 0.5000 0.0000
4 H 0.0000 0.0000 0.5000

Values from the calculation:
- DFT total energy (Ry/atom) = -0.46577


Density functional theory data (PBE) for a geometry-optimized NaCaNb structure.

abc: 5.6906 5.6906 12.0066
angles: 90.00 90.00 120.00
Space group P6_3/mmc (No. 194)
Asymmetric unit:
1 Na 0.3333 0.6667 0.2500
2 Ca 0.0000 0.0000 0.2500
3 Nb 0.0000 0.0000 0.0000

Values from the calculation:
- offset from the most stable computed form (kcal/mol of atoms) = 44.78
- formation energy (eV/atom) = 2.13


Density functional theory data (PBE) for a geometry-optimized IrSe2F structure.

abc: 3.8439 3.8439 6.8196
angles: 90.00 90.00 120.00
Space group P3m1 (No. 156)
Asymmetric unit:
1 Ir 0.0000 0.0000 0.0000
2 Se 0.3333 0.6667 0.8051
3 Se 0.6667 0.3333 0.1436
4 F 0.6667 0.3333 0.4130

Values from the calculation:
- DFT total energy (Ry/atom) = -0.37501


Density functional theory data (PBE) for a geometry-optimized YSbRu2 structure.

abc: 7.3584 7.3584 6.2048
angles: 90.00 90.00 90.00
Space group I-42d (No. 122)
Asymmetric unit:
1 Y 0.0000 0.0000 0.0000
2 Sb 0.0000 0.0000 0.5000
3 Ru 0.2068 0.2500 0.6250

Values from the calculation:
- DFT total energy (Ry/atom) = -0.51806


Density functional theory data (PBE) for a geometry-optimized Sm7ErTm2 structure.

abc: 8.7756 16.5317 5.5553
angles: 90.00 90.00 90.00
Space group Cmmm (No. 65)
Asymmetric unit:
1 Sm 0.0000 0.0000 0.0000
2 Sm 0.0000 0.2882 0.5000
3 Sm 0.1783 0.3876 0.0000
4 Er 0.0000 0.5000 0.5000
5 Tm 0.0000 0.2050 0.0000

Values from the calculation:
- offset from the most stable computed form (kcal/mol of atoms) = 14.82
- formation energy (eV/atom) = 0.66


Density functional theory data (PBE) for a geometry-optimized Pm4InPd7 structure.

abc: 10.8114 5.3267 10.5990
angles: 90.00 118.73 90.00
Space group C2/m (No. 12)
Asymmetric unit:
1 Pm 0.0947 0.0000 0.2891
2 Pm 0.2065 0.5000 0.1305
3 In 0.0000 0.5000 0.5000
4 Pd 0.0000 0.0000 0.5000
5 Pd 0.0785 0.5000 0.8046
6 Pd 0.1324 0.0000 0.0225
7 Pd 0.2100 0.5000 0.4064

Values from the calculation:
- formation energy (eV/atom) = -0.63


Density functional theory data (PBE) for a geometry-optimized Ce3HoTm2Sb6 structure.

abc: 7.6708 13.2841 7.6518
angles: 90.00 109.52 90.00
Space group C2/m (No. 12)
Asymmetric unit:
1 Ce 0.0000 0.0000 0.0000
2 Ce 0.0000 0.3338 0.0000
3 Ho 0.0000 0.5000 0.5000
4 Tm 0.0000 0.1668 0.5000
5 Sb 0.2455 0.0000 0.7404
6 Sb 0.2476 0.3327 0.7409

Values from the calculation:
- DFT total energy (Ry/atom) = -0.42149


Density functional theory data (PBE) for a geometry-optimized CaThTl structure.

abc: 5.4438 5.4438 3.7176
angles: 90.00 90.00 120.00
Space group P3m1 (No. 156)
Asymmetric unit:
1 Ca 0.0000 0.0000 0.0000
2 Th 0.6667 0.3333 0.5393
3 Tl 0.3333 0.6667 0.2438

Values from the calculation:
- offset from the most stable computed form (kcal/mol of atoms) = 3.86
- formation energy (eV/atom) = 0.07


Density functional theory data (PBE) for a geometry-optimized ZrCI2 structure.

abc: 7.0594 7.0594 7.0594
angles: 90.00 90.00 90.00
Space group Fm-3m (No. 225)
Asymmetric unit:
1 Zr 0.0000 0.0000 0.0000
2 C 0.0000 0.0000 0.5000
3 I 0.2500 0.2500 0.2500

Values from the calculation:
- offset from the most stable computed form (kcal/mol of atoms) = 0.00


Density functional theory data (PBE) for a geometry-optimized ZrIrW2 structure.

abc: 3.8796 3.8796 9.1780
angles: 90.00 90.00 90.00
Space group I4/mmm (No. 139)
Asymmetric unit:
1 Zr 0.0000 0.0000 0.0000
2 Ir 0.0000 0.0000 0.5000
3 W 0.0000 0.5000 0.2500

Values from the calculation:
- offset from the most stable computed form (kcal/mol of atoms) = 2.99
- formation energy (eV/atom) = 0.00


Density functional theory data (PBE) for a geometry-optimized Ac12Hg2Pb5 structure.

abc: 19.0091 8.3272 10.5400
angles: 90.00 100.63 90.00
Space group C2/m (No. 12)
Asymmetric unit:
1 Ac 0.0123 0.0000 0.2949
2 Ac 0.0143 0.5000 0.8230
3 Ac 0.1470 0.2548 0.5731
4 Ac 0.1695 0.2526 0.1040
5 Hg 0.0000 0.1748 0.0000
6 Pb 0.0000 0.5000 0.5000
7 Pb 0.1732 0.0000 0.8379
8 Pb 0.2048 0.0000 0.3625

Values from the calculation:
- formation energy (eV/atom) = -0.25


Density functional theory data (PBE) for a geometry-optimized SrTl4Au2 structure.

abc: 19.8727 4.7933 8.1494
angles: 90.00 90.00 90.00
Space group Pnma (No. 62)
Asymmetric unit:
1 Sr 0.1442 0.2500 0.0461
2 Tl 0.0326 0.7500 0.8382
3 Tl 0.0694 0.2500 0.5170
4 Tl 0.1849 0.7500 0.3487
5 Tl 0.1882 0.7500 0.7462
6 Au 0.0487 0.7500 0.2120
7 Au 0.2266 0.2500 0.5502

Values from the calculation:
- offset from the most stable computed form (kcal/mol of atoms) = 0.00
- formation energy (eV/atom) = -0.26


Density functional theory data (PBE) for a geometry-optimized Nb3BMo structure.

abc: 4.3672 4.3672 4.3672
angles: 90.00 90.00 90.00
Space group Pm-3m (No. 221)
Asymmetric unit:
1 Nb 0.0000 0.0000 0.5000
2 B 0.0000 0.0000 0.0000
3 Mo 0.5000 0.5000 0.5000

Values from the calculation:
- offset from the most stable computed form (kcal/mol of atoms) = 0.00
- formation energy (eV/atom) = 0.22


Density functional theory data (PBE) for a geometry-optimized BeIr2Se structure.

abc: 2.9010 2.9010 22.8771
angles: 90.00 90.00 120.00
Space group R-3m (No. 166, hexagonal axes)
Asymmetric unit:
1 Be 0.0000 0.0000 0.0000
2 Ir 0.0000 0.0000 0.2580
3 Se 0.0000 0.0000 0.5000

Values from the calculation:
- offset from the most stable computed form (kcal/mol of atoms) = 2.32


Density functional theory data (PBE) for a geometry-optimized NpPb3O6 structure.

abc: 5.9774 6.5041 10.5249
angles: 90.00 123.22 90.00
Space group P2_1/c (No. 14)
Asymmetric unit:
1 Np 0.0000 0.0000 0.0000
2 Pb 0.2691 0.0447 0.7732
3 Pb 0.5000 0.0000 0.5000
4 O 0.1132 0.0660 0.2269
5 O 0.2220 0.7412 0.0701
6 O 0.3375 0.1558 0.0279

Values from the calculation:
- offset from the most stable computed form (kcal/mol of atoms) = 0.32


Density functional theory data (PBE) for a geometry-optimized PrNdBiSe structure.

abc: 4.3716 4.3716 22.7064
angles: 90.00 90.00 120.00
Space group R3m (No. 160, hexagonal axes)
Asymmetric unit:
1 Pr 0.0000 0.0000 0.0000
2 Nd 0.0000 0.0000 0.8171
3 Bi 0.0000 0.0000 0.2413
4 Se 0.0000 0.0000 0.4122

Values from the calculation:
- DFT total energy (Ry/atom) = -0.40753